Computed, not measured: a relaxed structure of Rb2SrCrO4 at the GGA+U level of DFT.

DFT total energy = -0.210 hartree per atom

Cell: 6.2172 7.5491 7.2848 Å, 90.00 90.00 90.00°
Closest atoms and distances in Å follow each position.
Fractional positions:
Rb 0.4823 0.3385 0.2588  4 O 2.68-2.88
Rb 0.4823 0.3385 0.7412  4 O 2.68-2.88
Rb 0.9823 0.6615 0.7588  4 O 2.68-2.88
Rb 0.9823 0.6615 0.2412  4 O 2.68-2.88
Sr 0.9968 0.1182 0.5000  4 O 2.34-2.49
Sr 0.4968 0.8818 0.0000  4 O 2.34-2.49
Cr 0.5015 0.8325 0.5000  4 O 1.81-1.83
Cr 0.0015 0.1675 0.0000  4 O 1.81-1.83
O 0.2906 0.1415 0.0000  1 Cr 1.81
O 0.7906 0.8585 0.5000  1 Cr 1.81
O 0.3773 0.0496 0.5000  1 Cr 1.81
O 0.8773 0.9504 0.0000  1 Cr 1.81
O 0.4346 0.7136 0.7115  1 Cr 1.83
O 0.9346 0.2864 0.2115  1 Cr 1.83
O 0.9346 0.2864 0.7885  1 Cr 1.83
O 0.4346 0.7136 0.2885  1 Cr 1.83